This record from Alexandria via LeMat-Bulk describes a geometry-optimized Mn3Cr2SbP6O24 structure. The functional is PBE+U.

Summary:
**Total magnetic moment**: 0.556 μB per atom
**ρ**: 3.5 g/cm3
**Final energy**: -263.02 eV for the cell shown

Structure (extended XYZ):
```
36
Lattice="8.538 -0.035 -0.025 4.083 7.499 -0.025 4.083 2.415 7.100" Properties=species:S:1:pos:R:3 pbc="T T T"
Mn 14.216 8.408 6.000
Mn 10.840 6.411 4.575
Mn 5.915 3.499 2.497
Cr 16.639 9.841 7.023
Cr 8.351 4.939 3.525
Sb 2.433 1.439 1.027
P 8.281 6.420 6.703
P 8.448 3.492 0.382
P 7.129 2.221 5.287
P 5.380 6.683 3.178
P 11.372 3.198 3.892
P 9.615 7.692 1.759
O 12.488 6.242 3.331
O 11.485 5.730 6.423
O 11.450 2.490 5.294
O 10.554 8.449 4.820
O 10.817 2.217 2.776
O 10.280 4.298 3.952
O 10.612 7.233 0.634
O 9.451 6.536 2.780
O 9.529 4.505 0.098
O 8.719 5.993 5.277
O 9.069 1.964 0.480
O 8.538 2.102 5.812
O 8.143 7.868 1.195
O 7.698 7.878 6.634
O 7.944 3.789 1.834
O 7.154 5.360 7.052
O 7.147 3.404 4.261
O 6.090 2.730 6.465
O 6.426 5.533 2.987
O 5.955 7.600 4.228
O 6.040 1.504 2.310
O 5.326 7.422 1.702
O 5.253 4.006 0.671
O 4.228 3.670 3.570
```